Entry from the Open Quantum Materials Database: an optimized crystal structure of BW5C2 (PBE).

For the total energy, the calculation gives -353.0 eV per cell.

The structure belongs to space group Cmcm (No. 63); the cell edges are 4.349, 9.286 and 10.439 Å and the angles 90.00°, 90.00° and 90.00°. Symmetry generates all atoms from B at (0.000, 0.244, 0.250), W at (0.000, 0.148, 0.043), W at (0.000, 0.273, 0.750), W at (0.000, 0.445, 0.125) and C at (0.000, 0.344, 0.557).